1.
First-principles (PBE-GGA) data for a geometry-optimized Tc2IrBr structure, as listed in Alexandria via LeMat-Bulk.

abc: 9.972 2.867 4.560
angles: 90.00 99.26 90.00
Space group Cm (No. 8)
Inequivalent atoms, fractional coordinates:
Tc 0.000 0.000 0.000
Tc 0.195 0.500 0.316
Ir 0.438 0.000 0.448
Br 0.223 0.000 0.783

Calculated values
* ΔE_f (raw): 0.64 eV per atom

2.
First-principles (PBE-GGA) data for a geometry-optimized Ba4MgGa4 structure, as listed in Alexandria via LeMat-Bulk.

abc: 7.055 7.055 14.109
angles: 90.00 90.00 90.00
Space group I-42m (No. 121)
Inequivalent atoms, fractional coordinates:
Ba 0.212 0.212 0.357
Mg 0.000 0.000 0.000
Ga 0.221 0.221 0.106

Calculated values
* calculated formation energy: -0.096 eV/atom

3.
First-principles (PBE-GGA) data for a geometry-optimized MgNi2Os structure, as listed in Alexandria via LeMat-Bulk.

abc: 2.7041 2.7041 25.3481
angles: 90.00 90.00 120.00
Space group R3m (No. 160, hexagonal axes)
Inequivalent atoms, fractional coordinates:
Mg 0.0000 0.0000 0.0000
Ni 0.0000 0.0000 0.4941
Ni 0.0000 0.0000 0.7504
Os 0.0000 0.0000 0.2406

Calculated values
* calculated formation energy: 0.171 eV/atom

4.
First-principles (PBE-GGA) data for a geometry-optimized IrRu2Cl structure, as listed in Alexandria via LeMat-Bulk.

abc: 6.198 6.198 6.198
angles: 90.00 90.00 90.00
Space group Fm-3m (No. 225)
Inequivalent atoms, fractional coordinates:
Ir 0.000 0.000 0.000
Ru 0.250 0.250 0.250
Cl 0.000 0.000 0.500

Calculated values
* ΔE_f (raw): 0.90 eV per atom

Calculated E in order - -7.177; -2.473; -5.926; -6.417 eV/atom